# 1
Entry from the Alexandria database: a relaxed structure of LiCrPd2 (PBE-GGA).

The calculation puts the total energy at -22.11 eV/f.u. The value obtained for the energy of formation is -0.19 eV per formula unit.

The space group is R-3m (No. 166, hexagonal axes) and the conventional cell measures 2.8244, 2.8244 and 25.4228 Å, with angles of 90.00, 90.00 and 120.00 degrees. Symmetry generates all atoms from Li at (0.0000, 0.0000, 0.0000), Cr at (0.0000, 0.0000, 0.5000) and Pd at (0.0000, 0.0000, 0.2488).

---

# 2
Entry from the Alexandria database: a relaxed structure of LiCrPd2 (PBE-GGA).

The calculation puts the total energy at -22.34 eV/f.u. The value obtained for the energy of formation is -0.41 eV per formula unit.

The space group is P4/mmm (No. 123) and the conventional cell measures 2.746, 2.746 and 7.234 Å, with angles of 90.00, 90.00 and 90.00 degrees. Symmetry generates all atoms from Li at (0.000, 0.000, 0.000), Cr at (0.000, 0.000, 0.500) and Pd at (0.500, 0.500, 0.255).

---

# 3
Entry from the Alexandria database: a relaxed structure of LiCrPd2 (PBE-GGA).

The calculation puts the total energy at -22.67 eV/f.u. The value obtained for the energy of formation is -0.75 eV per formula unit.

The space group is P4/mmm (No. 123) and the conventional cell measures 4.388, 4.388 and 2.989 Å, with angles of 90.00, 90.00 and 90.00 degrees. Symmetry generates all atoms from Li at (0.000, 0.000, 0.000), Cr at (0.500, 0.500, 0.000) and Pd at (0.000, 0.500, 0.500).

---

# 4
Entry from the Alexandria database: a relaxed structure of Li2CrPd2 (PBE-GGA).

The calculation puts the total energy at -23.12 eV/f.u. The value obtained for the energy of formation is 0.71 eV per formula unit.

The space group is P4/mbm (No. 127) and the conventional cell measures 7.121, 7.121 and 2.694 Å, with angles of 90.00, 90.00 and 90.00 degrees. Symmetry generates all atoms from Li at (0.127, 0.373, 0.000), Cr at (0.000, 0.000, 0.500) and Pd at (0.173, 0.673, 0.500).

---

Ordered total magnetic moment results: 0.7706; 0.0418; 0.9681; 0.0531; unit μB per atom.